Below is crystalline Tm6Hg2Ir at its relaxed geometry, with properties calculated at the PBE-GGA level.

Properties
D(E_F): 7.45 states/eV/f.u.
crystal system: monoclinic
mass density: 10.6 g/cm³
V: 251 Å³/f.u.
ΔE_f: -0.397 eV per atom
total DFT energy (no corrections): -79.74 eV/cell

```
data_Tm6Hg2Ir
_chemical_formula_sum 'Tm12 Hg4 Ir2'
_cell_length_a 6.7615
_cell_length_b 7.3762
_cell_length_c 12.0815
_cell_angle_alpha 90.00
_cell_angle_beta 123.65
_cell_angle_gamma 90.00
_symmetry_space_group_name_H-M 'P 1'
_symmetry_Int_Tables_number 1
loop_
_symmetry_equiv_pos_as_xyz
'x,y,z'
loop_
_atom_site_label
_atom_site_type_symbol
_atom_site_fract_x
_atom_site_fract_y
_atom_site_fract_z
_atom_site_occupancy
Tm1 Tm 0.1267 0.0178 0.2447 1
Tm2 Tm 0.1267 0.4822 0.7447 1
Tm3 Tm 0.2204 0.6917 0.0509 1
Tm4 Tm 0.2204 0.8083 0.5509 1
Tm5 Tm 0.3688 0.1859 0.0539 1
Tm6 Tm 0.3688 0.3141 0.5539 1
Tm7 Tm 0.6312 0.6859 0.4461 1
Tm8 Tm 0.6312 0.8141 0.9461 1
Tm9 Tm 0.7796 0.1917 0.4491 1
Tm10 Tm 0.7796 0.3083 0.9491 1
Tm11 Tm 0.8733 0.5178 0.2553 1
Tm12 Tm 0.8733 0.9822 0.7553 1
Hg1 Hg 0.2949 0.0972 0.7498 1
Hg2 Hg 0.2949 0.4028 0.2498 1
Hg3 Hg 0.7051 0.5972 0.7502 1
Hg4 Hg 0.7051 0.9028 0.2502 1
Ir1 Ir 0.5000 0.0000 0.5000 1
Ir2 Ir 0.5000 0.5000 0.0000 1
```